1.
Below is an optimized crystal structure of Zn2CoCl, with properties calculated at the PBE level.

Values from the calculation:
As for the uncorrected formation energy: 0.27 eV per atom. The value obtained for the excess energy over the best structure of this formula in the dataset is 0.330 eV per atom. The symmetry is No. 123. Its volume is 61.24 Å³/cell.

a = 2.9047 Å, b = 4.5917 Å, c = 4.5917 Å
α = 90.00°, β = 90.00°, γ = 90.00°
With the nearest neighbours (Å) after each atom.
Atoms (fractional coordinates):
Zn: 0.0000 0.0000 0.0000  4 Cl 2.72, 4 Co 2.72, 2 Zn 2.90
Zn: 0.0000 0.5000 0.5000  4 Cl 2.72, 4 Co 2.72, 2 Zn 2.90
Co: 0.5000 0.0000 0.5000  8 Zn 2.72, 2 Co 2.90
Cl: 0.5000 0.5000 0.0000  8 Zn 2.72, 2 Cl 2.90

2.
Below is an optimized crystal structure of LaMnIr, with properties calculated at the PBE level.

Values from the calculation:
The total energy comes out at -7.2528 eV/atom. The symmetry is No. 156. Its volume is 59.59 Å³/cell.

a = 3.0298 Å, b = 3.0298 Å, c = 7.4959 Å
α = 90.00°, β = 90.00°, γ = 120.00°
With the nearest neighbours (Å) after each atom.
Atoms (fractional coordinates):
Ir: 0.0000 0.0000 0.9736  3 Mn 2.64
La: 0.6667 0.3333 0.3172  6 La 3.03, 3 Ir 3.11
Mn: 0.3333 0.6667 0.7092  3 Ir 2.64

3.
Below is an optimized crystal structure of Sb2AsIr, with properties calculated at the PBE level.

Values from the calculation:
As for the uncorrected formation energy: 0.11 eV per atom. The value obtained for the excess energy over the best structure of this formula in the dataset is 0.157 eV per atom. The symmetry is No. 99. Its volume is 88.25 Å³/cell.

a = 3.1176 Å, b = 3.1176 Å, c = 9.0797 Å
α = 90.00°, β = 90.00°, γ = 90.00°
With the nearest neighbours (Å) after each atom.
Atoms (fractional coordinates):
Sb: 0.0000 0.0000 0.9443  4 Ir 2.96, 4 Sb 3.12
Sb: 0.5000 0.5000 0.2573  4 Sb 3.12
As: 0.0000 0.0000 0.5710  4 Ir 2.62
Ir: 0.5000 0.5000 0.7274  4 As 2.62

4.
Below is an optimized crystal structure of Zr2TeW, with properties calculated at the PBE level.

Values from the calculation:
As for the uncorrected formation energy: 0.03 eV per atom. The value obtained for the excess energy over the best structure of this formula in the dataset is 0.221 eV per atom. The symmetry is No. 139. Its volume is 81.71 Å³/cell.

a = 5.1787 Å, b = 5.1787 Å, c = 5.1787 Å
α = 128.99°, β = 128.99°, γ = 75.03°
With the nearest neighbours (Å) after each atom.
Atoms (fractional coordinates):
Te: 0.2500 0.7500 0.5000  8 Zr 3.03, 4 W 3.15
W: 0.7500 0.2500 0.5000  8 Zr 3.03, 4 Te 3.15
Zr: 0.0000 0.0000 0.0000  4 W 3.03, 4 Te 3.03, 4 Zr 3.15
Zr: 0.5000 0.5000 0.0000  4 W 3.03, 4 Te 3.03, 4 Zr 3.15

5.
Below is an optimized crystal structure of BaZn2Pb, with properties calculated at the PBE level.

Values from the calculation:
The total energy comes out at -2.1592 eV/atom. The symmetry is No. 141. Its volume is 267.77 Å³/cell.

a = 5.2244 Å, b = 5.2244 Å, c = 10.4829 Å
α = 75.57°, β = 75.57°, γ = 90.00°
With the nearest neighbours (Å) after each atom.
Atoms (fractional coordinates):
Pb: 0.0000 0.0000 0.0000  4 Zn 2.78
Pb: 0.7500 0.2500 0.5000  4 Zn 2.78
Zn: 0.8752 0.1250 0.2500  2 Zn 2.61, 2 Pb 2.78
Zn: 0.8748 0.6250 0.2500  2 Zn 2.61, 2 Pb 2.78
Zn: 0.3750 0.1248 0.7500  2 Zn 2.61, 2 Pb 2.78
Zn: 0.8750 0.1252 0.7500  2 Zn 2.61, 2 Pb 2.78
Ba: 0.5000 0.5000 0.0000  4 Pb 3.69, 8 Zn 3.81
Ba: 0.2500 0.7500 0.5000  4 Pb 3.69, 8 Zn 3.81

6.
Below is an optimized crystal structure of Ce9MgAl2, with properties calculated at the PBE level.

Values from the calculation:
The total energy comes out at -5.2751 eV/atom. The symmetry is No. 123. Its volume is 313.89 Å³/cell.

a = 4.7127 Å, b = 4.7127 Å, c = 14.1333 Å
α = 90.00°, β = 90.00°, γ = 90.00°
With the nearest neighbours (Å) after each atom.
Atoms (fractional coordinates):
Ce: 0.5000 0.5000 0.0000  4 Mg 3.33, 8 Ce 3.41
Ce: 0.5000 0.5000 0.3330  8 Ce 3.25-3.34, 4 Al 3.33
Ce: 0.5000 0.5000 0.6670  8 Ce 3.25-3.34, 4 Al 3.33
Ce: 0.5000 0.0000 0.1744  8 Ce 3.25-3.41, 2 Al 3.28, 2 Mg 3.41
Ce: 0.5000 0.0000 0.5000  4 Al 3.31, 8 Ce 3.33-3.34
Ce: 0.5000 0.0000 0.8256  8 Ce 3.25-3.41, 2 Al 3.28, 2 Mg 3.41
Ce: 0.0000 0.5000 0.1744  8 Ce 3.25-3.41, 2 Al 3.28, 2 Mg 3.41
Ce: 0.0000 0.5000 0.5000  4 Al 3.31, 8 Ce 3.33-3.34
Ce: 0.0000 0.5000 0.8256  8 Ce 3.25-3.41, 2 Al 3.28, 2 Mg 3.41
Mg: 0.0000 0.0000 0.0000  12 Ce 3.33-3.41
Al: 0.0000 0.0000 0.3358  12 Ce 3.28-3.33
Al: 0.0000 0.0000 0.6642  12 Ce 3.28-3.33